Entry 1:
ReTeW2 | GGA-PBE | relaxed

a b c (Å): 3.9529 3.9529 8.6662
angles (deg): 90.00 90.00 90.00
Closest atoms and distances in Å follow each position.
Space group I-4m2 (No. 119)
Unique sites:
Re  0.0000  0.0000  0.0000  8 W 2.80-2.93, 4 Te 2.93
Te  0.0000  0.5000  0.7500  8 W 2.80-2.93, 4 Re 2.93
W  0.0000  0.0000  0.5000  4 Re 2.80, 4 W 2.93, 4 Te 2.93
W  0.0000  0.5000  0.2500  4 Te 2.80, 4 W 2.93, 4 Re 2.93

Calculated values
E ... -9.4996 eV/atom
Total magnetic moment ... 0.00 μB/f.u.
Formation energy from raw total energies ... 0.8745 eV per atom

Entry 2:
KIO2 | GGA-PBE | relaxed

a b c (Å): 3.9127 3.9127 15.0811
angles (deg): 90.00 90.00 120.00
Closest atoms and distances in Å follow each position.
Space group R-3m (No. 166, hexagonal axes)
Unique sites:
K  0.0000  0.0000  0.0000  8 O 2.91-3.19
I  0.0000  0.0000  0.5000  6 O 2.36
O  0.0000  0.0000  0.2113  3 I 2.36, 3 O 2.63

Calculated values
E ... -3.5557 eV/atom
Total magnetic moment ... 0.00 μB/f.u.
Formation energy from raw total energies ... -0.4147 eV per atom